LaTl2Fe | GGA-PBE | optimized geometry

The calculated formation energy is 0.6 eV/f.u. The calculation puts the density of states at the Fermi level at 3.74 states/eV/f.u. The value obtained for the total energy is -4.39 eV/atom.

The structure belongs to space group Immm (No. 71); the cell edges are 4.008, 5.334 and 9.504 Å and the angles 90.00°, 90.00° and 90.00°. The distinct sites, in fractional coordinates, are La at (0.000, 0.000, 0.000), Tl at (0.000, 0.500, 0.216) and Fe at (0.000, 0.000, 0.500).